Entry 1:
DFT (PBE) results for a geometry-optimized TaCr2Ag2Se6 structure. Values from VASP.

```
&SYSTEM
  ibrav = 0, nat = 11, ntyp = 4
/
ATOMIC_SPECIES
Ta 180.95 Ta.upf
Cr 52.00 Cr.upf
Ag 107.87 Ag.upf
Se 78.96 Se.upf
ATOMIC_POSITIONS crystal
Ta 0.0000 0.0000 0.0000
Cr 0.3659 0.6341 0.0000
Cr 0.6341 0.3659 0.0000
Ag 0.1944 0.8056 0.5000
Ag 0.8056 0.1944 0.5000
Se 0.0862 0.7268 0.1806
Se 0.2732 0.9138 0.8194
Se 0.4286 0.4286 0.2142
Se 0.5714 0.5714 0.7858
Se 0.7268 0.0862 0.1806
Se 0.9138 0.2732 0.8194
CELL_PARAMETERS angstrom
2.9618 -5.2864 0.0000
2.9618 5.2864 0.0000
-2.4586 0.0000 7.8994
```

Calculated values
Density of states at the Fermi level: 4.4 states/eV/f.u.
Total magnetic moment: 2.45 μB/f.u.
Raw total energy: -61.7 eV per cell
Uncorrected formation energy: -0.37 eV/atom

=====

Entry 2:
DFT (PBE) results for a geometry-optimized SrGa12Pd6 structure. Values from VASP.

```
&SYSTEM
  ibrav = 0, nat = 19, ntyp = 3
/
ATOMIC_SPECIES
Sr 87.62 Sr.upf
Ga 69.72 Ga.upf
Pd 106.42 Pd.upf
ATOMIC_POSITIONS crystal
Sr 0.0000 0.0000 0.0000
Ga 0.1109 0.5000 0.8891
Ga 0.1109 0.8891 0.5000
Ga 0.1482 0.4017 0.4017
Ga 0.4017 0.1482 0.4017
Ga 0.4017 0.4017 0.1482
Ga 0.5000 0.1109 0.8891
Ga 0.5000 0.8891 0.1109
Ga 0.5983 0.5983 0.8518
Ga 0.5983 0.8518 0.5983
Ga 0.8518 0.5983 0.5983
Ga 0.8891 0.1109 0.5000
Ga 0.8891 0.5000 0.1109
Pd 0.2845 0.7129 0.7129
Pd 0.2871 0.2871 0.7155
Pd 0.2871 0.7155 0.2871
Pd 0.7129 0.2845 0.7129
Pd 0.7129 0.7129 0.2845
Pd 0.7155 0.2871 0.2871
CELL_PARAMETERS angstrom
5.6996 3.2907 3.0117
-5.6996 3.2907 3.0117
0.0000 -6.5814 3.0117
```

Calculated values
Density of states at the Fermi level: 5.6 states/eV/f.u.
Energy of formation from the pure elements: -0.5002 eV/atom
Total magnetic moment: 0.00 μB/f.u.
Raw total energy: -78.7 eV per cell

=====

Entry 3:
DFT (PBE) results for a geometry-optimized In2Ag2Pd2Au structure. Values from VASP.

```
&SYSTEM
  ibrav = 0, nat = 7, ntyp = 4
/
ATOMIC_SPECIES
In 114.82 In.upf
Ag 107.87 Ag.upf
Pd 106.42 Pd.upf
Au 196.97 Au.upf
ATOMIC_POSITIONS crystal
In 0.2124 0.2124 0.1820
In 0.7876 0.7876 0.8180
Ag 0.0755 0.0755 0.7091
Ag 0.9245 0.9245 0.2909
Pd 0.3631 0.3631 0.5759
Pd 0.6369 0.6369 0.4241
Au 0.5000 0.5000 0.0000
CELL_PARAMETERS angstrom
4.7521 -2.1003 0.0000
4.7521 2.1003 0.0000
-0.7766 0.0000 6.4271
```

Calculated values
Density of states at the Fermi level: 2.0 states/eV/f.u.
Energy of formation from the pure elements: -0.2181 eV/atom
Total magnetic moment: 0.00 μB/f.u.
Raw total energy: -26.4 eV per cell

=====

Entry 4:
DFT (PBE) results for a geometry-optimized Na3Ho3US8 structure. Values from VASP.

```
&SYSTEM
  ibrav = 0, nat = 15, ntyp = 4
/
ATOMIC_SPECIES
Na 22.99 Na.upf
Ho 164.93 Ho.upf
U 238.03 U.upf
S 32.06 S.upf
ATOMIC_POSITIONS crystal
Na 0.0000 0.5000 0.5000
Na 0.5000 0.0000 0.5000
Na 0.5000 0.5000 0.0000
Ho 0.0000 0.0000 0.5000
Ho 0.0000 0.5000 0.0000
Ho 0.5000 0.0000 0.0000
U 0.5000 0.5000 0.5000
S 0.2418 0.2418 0.2418
S 0.2438 0.7377 0.7377
S 0.2623 0.2623 0.7562
S 0.2623 0.7562 0.2623
S 0.7377 0.2438 0.7377
S 0.7377 0.7377 0.2438
S 0.7562 0.2623 0.2623
S 0.7582 0.7582 0.7582
CELL_PARAMETERS angstrom
3.9728 2.2937 6.7185
-3.9728 2.2937 6.7185
0.0000 -4.5874 6.7185
```

Calculated values
Density of states at the Fermi level: 6.1 states/eV/f.u.
Total magnetic moment: 2.00 μB/f.u.
Raw total energy: -88.1 eV per cell
Uncorrected formation energy: -1.74 eV/atom

=====

Entry 5:
DFT (PBE) results for a geometry-optimized Rb2NaHSe structure. Values from VASP.

```
&SYSTEM
  ibrav = 0, nat = 5, ntyp = 4
/
ATOMIC_SPECIES
Rb 85.47 Rb.upf
Na 22.99 Na.upf
H 1.01 H.upf
Se 78.96 Se.upf
ATOMIC_POSITIONS crystal
Rb 0.0000 0.5000 0.0000
Rb 0.5000 0.0000 0.0000
Na 0.0000 0.0000 0.5000
H 0.0000 0.0000 0.0000
Se 0.5000 0.5000 0.5000
CELL_PARAMETERS angstrom
5.4621 0.0000 0.0000
0.0000 5.4621 0.0000
0.0000 0.0000 4.8248
```

Calculated values
Total magnetic moment: 0.00 μB/f.u.
Raw total energy: -13.1 eV per cell

=====

Entry 6:
DFT (PBE) results for a geometry-optimized Na2BiSbSe4 structure. Values from VASP.

```
&SYSTEM
  ibrav = 0, nat = 8, ntyp = 4
/
ATOMIC_SPECIES
Na 22.99 Na.upf
Bi 208.98 Bi.upf
Sb 121.76 Sb.upf
Se 78.96 Se.upf
ATOMIC_POSITIONS crystal
Na 0.0000 0.0000 0.0000
Na 0.7500 0.2500 0.5000
Bi 0.2500 0.7500 0.5000
Sb 0.5000 0.5000 0.0000
Se 0.0074 0.5074 0.5000
Se 0.2648 0.2648 0.0000
Se 0.4926 0.9926 0.5000
Se 0.7352 0.7352 0.0000
CELL_PARAMETERS angstrom
-2.9347 2.9347 6.1384
2.9347 -2.9347 6.1384
2.9347 2.9347 -6.1384
```

Calculated values
Total magnetic moment: 0.00 μB/f.u.
Raw total energy: -29.9 eV per cell
Uncorrected formation energy: -0.67 eV/atom

=====

Entry 7:
DFT (PBE) results for a geometry-optimized GdYMnRu structure. Values from VASP.

```
&SYSTEM
  ibrav = 0, nat = 4, ntyp = 4
/
ATOMIC_SPECIES
Gd 157.25 Gd.upf
Y 88.91 Y.upf
Mn 54.94 Mn.upf
Ru 101.07 Ru.upf
ATOMIC_POSITIONS crystal
Gd 0.0000 0.0000 0.0000
Y 0.5000 0.5000 0.5000
Mn 0.2500 0.2500 0.2500
Ru 0.7500 0.7500 0.7500
CELL_PARAMETERS angstrom
0.0000 3.4913 3.4913
3.4913 0.0000 3.4913
3.4913 3.4913 0.0000
```

Calculated values
Density of states at the Fermi level: 2.6 states/eV/f.u.
Energy of formation from the pure elements: -0.0204 eV/atom
Total magnetic moment: 10.58 μB/f.u.
Raw total energy: -39.1 eV per cell

=====

Entry 8:
DFT (PBE) results for a geometry-optimized Mg2InRuW structure. Values from VASP.

```
&SYSTEM
  ibrav = 0, nat = 5, ntyp = 4
/
ATOMIC_SPECIES
Mg 24.30 Mg.upf
In 114.82 In.upf
Ru 101.07 Ru.upf
W 183.84 W.upf
ATOMIC_POSITIONS crystal
Mg 0.0000 0.5000 0.0000
Mg 0.5000 0.0000 0.0000
In 0.0000 0.0000 0.0000
Ru 0.5000 0.5000 0.5000
W 0.0000 0.0000 0.5000
CELL_PARAMETERS angstrom
4.8245 0.0000 0.0000
0.0000 4.8245 0.0000
0.0000 0.0000 5.1114
```

Calculated values
Density of states at the Fermi level: 6.0 states/eV/f.u.
Energy of formation from the pure elements: 1.8640 eV/atom
Total magnetic moment: 2.08 μB/f.u.
Raw total energy: -18.8 eV per cell

=====

Question: Which formula does entry 5 have?
Answer: Rb2NaHSe

=====

Question: What is the raw total energy in the fourth record?
Answer: -88.1 eV per cell

=====

Question: What is the formula in the fifth record?
Answer: Rb2NaHSe

=====

Question: Among the records above, which one has the lowest raw total energy?
Answer: Na3Ho3US8